Entry 1:
KCaRe | PBE | relaxed

Cell lengths 2.9534, 2.9534, 17.8928 Å; angles 90.00, 90.00, 90.00 degrees
Space group I4mm (No. 107)
Inequivalent atoms, fractional coordinates:
1 K 0.0000 0.0000 0.0000 [2 per cell]
2 Ca 0.0000 0.0000 0.2835 [2 per cell]
3 Re 0.0000 0.0000 0.6580 [2 per cell]

Summary:
Energy above the lowest structure with this stoichiometry, kJ/mol of atoms: 0.0
Energy of formation, eV per atom: 1.12

---

Entry 2:
Ba3Cu2PtO6 | PBE | relaxed

Cell lengths 5.9741, 5.9741, 6.7542 Å; angles 90.00, 90.00, 120.00 degrees
Space group P-3m1 (No. 164)
Inequivalent atoms, fractional coordinates:
1 Ba 0.0000 0.0000 0.0000 [1 per cell]
2 Ba 0.3333 0.6667 0.6437 [2 per cell]
3 Cu 0.3333 0.6667 0.1955 [2 per cell]
4 Pt 0.0000 0.0000 0.5000 [1 per cell]
5 O 0.1641 0.3282 0.3166 [6 per cell]

Summary:
Total energy, eV per cell: -66.41

---

Entry 3:
LaTePb | PBE | relaxed

Cell lengths 5.1779, 5.1779, 27.6982 Å; angles 90.00, 90.00, 120.00 degrees
Space group R-3m (No. 166, hexagonal axes)
Inequivalent atoms, fractional coordinates:
1 La 0.0000 0.0000 0.0868 [6 per cell]
2 Te 0.0000 0.0000 0.2085 [6 per cell]
3 Pb 0.0000 0.0000 0.3568 [6 per cell]

Summary:
Total energy, eV per cell: -86.43

---

Entry 4:
Si2WSe | PBE | relaxed

Cell lengths 4.8939, 5.0964, 5.9959 Å; angles 80.70, 80.36, 73.03 degrees
Space group P-1 (No. 2)
Inequivalent atoms, fractional coordinates:
1 Si 0.0757 0.0458 0.3062 [2 per cell]
2 Si 0.3202 0.1991 0.8821 [2 per cell]
3 W 0.2257 0.7113 0.0168 [2 per cell]
4 Se 0.3815 0.3253 0.3505 [2 per cell]

Summary:
Total energy, eV per cell: -54.21

---

Entry 5:
CeAlGa | PBE | relaxed

Cell lengths 3.3185, 3.3185, 11.6081 Å; angles 90.00, 90.00, 90.00 degrees
Space group I4mm (No. 107)
Inequivalent atoms, fractional coordinates:
1 Ce 0.0000 0.0000 0.0000 [2 per cell]
2 Al 0.0000 0.0000 0.3104 [2 per cell]
3 Ga 0.0000 0.0000 0.6877 [2 per cell]

Summary:
Energy of formation, eV per atom: -0.28

---

Entry 6:
YVZn | PBE | relaxed

Cell lengths 4.3342, 10.2159, 10.9628 Å; angles 90.00, 90.00, 90.00 degrees
Space group Fmmm (No. 69)
Inequivalent atoms, fractional coordinates:
1 Y 0.0000 0.0000 0.1317 [8 per cell]
2 V 0.2500 0.2500 0.2500 [8 per cell]
3 Zn 0.0000 0.1894 0.5000 [8 per cell]

Summary:
Energy of formation, eV per atom: 0.27

---

Entry 7:
AgAsBr | PBE | relaxed

Cell lengths 3.8331, 6.5664, 7.0833 Å; angles 104.15, 90.49, 106.52 degrees
Space group P-1 (No. 2)
Inequivalent atoms, fractional coordinates:
1 Ag 0.1589 0.3191 0.2223 [2 per cell]
2 As 0.4812 0.9681 0.8300 [2 per cell]
3 Br 0.1919 0.3753 0.7154 [2 per cell]

Summary:
Energy above the lowest structure with this stoichiometry, kJ/mol of atoms: 0.0

---

Entry 8:
LiScBi2 | PBE | relaxed

Cell lengths 7.9233, 7.9233, 6.5953 Å; angles 90.00, 90.00, 90.00 degrees
Space group I-42d (No. 122)
Inequivalent atoms, fractional coordinates:
1 Li 0.0000 0.0000 0.0000 [4 per cell]
2 Sc 0.0000 0.0000 0.5000 [4 per cell]
3 Bi 0.2291 0.2500 0.1250 [8 per cell]

Summary:
Energy above the lowest structure with this stoichiometry, kJ/mol of atoms: 11.5
Energy of formation, eV per atom: -0.30

---

Entry 9:
La2Al12Ir7 | PBE | relaxed

Cell lengths 9.9299, 9.9299, 4.1275 Å; angles 90.00, 90.00, 120.00 degrees
Space group P-6 (No. 174)
Inequivalent atoms, fractional coordinates:
1 La 0.0000 0.0000 0.0000 [1 per cell]
2 La 0.3333 0.6667 0.5000 [1 per cell]
3 Al 0.0099 0.7309 0.5000 [3 per cell]
4 Al 0.1680 0.3930 0.0000 [3 per cell]
5 Al 0.3804 0.1707 0.0000 [3 per cell]
6 Al 0.5543 0.1435 0.5000 [3 per cell]
7 Ir 0.0020 0.2641 0.5000 [3 per cell]
8 Ir 0.0168 0.5458 0.0000 [3 per cell]
9 Ir 0.6667 0.3333 0.0000 [1 per cell]

Summary:
Energy of formation, eV per atom: -0.86

---

Entry 10:
Rb2MnSnCl6 | PBE | relaxed

Cell lengths 7.5430, 7.5430, 10.6703 Å; angles 90.00, 90.00, 90.00 degrees
Space group I4mm (No. 107)
Inequivalent atoms, fractional coordinates:
1 Rb 0.0000 0.5000 0.0000 [4 per cell]
2 Mn 0.0000 0.0000 0.2505 [2 per cell]
3 Sn 0.0000 0.0000 0.7505 [2 per cell]
4 Cl 0.0000 0.0000 0.0138 [2 per cell]
5 Cl 0.0000 0.0000 0.4872 [2 per cell]
6 Cl 0.2366 0.2366 0.2504 [8 per cell]

Summary:
Total energy, eV per cell: -80.91

---

Entry 11:
Y2Er5 | PBE | relaxed

Cell lengths 15.5467, 6.2381, 9.1252 Å; angles 90.00, 96.25, 90.00 degrees
Space group C2/c (No. 15)
Inequivalent atoms, fractional coordinates:
1 Y 0.0719 0.1675 0.1071 [8 per cell]
2 Er 0.0000 0.3347 0.7500 [4 per cell]
3 Er 0.1440 0.3346 0.4645 [8 per cell]
4 Er 0.2140 0.1678 0.8214 [8 per cell]

Summary:
Energy of formation, eV per atom: 0.00

---

Entry 12:
ZrPdPt2 | PBE | relaxed

Cell lengths 6.4900, 6.4900, 6.4900 Å; angles 90.00, 90.00, 90.00 degrees
Space group Fm-3m (No. 225)
Inequivalent atoms, fractional coordinates:
1 Zr 0.0000 0.0000 0.0000 [4 per cell]
2 Pd 0.0000 0.0000 0.5000 [4 per cell]
3 Pt 0.2500 0.2500 0.2500 [8 per cell]

Summary:
Energy of formation, eV per atom: -0.73

---

Entry 13:
Rb2SmInI6 | PBE | relaxed

Cell lengths 8.8970, 8.8970, 22.4030 Å; angles 90.00, 90.00, 120.00 degrees
Space group R3 (No. 146, hexagonal axes)
Inequivalent atoms, fractional coordinates:
1 Rb 0.0000 0.0000 0.0000 [3 per cell]
2 Rb 0.0000 0.0000 0.4916 [3 per cell]
3 Sm 0.0000 0.0000 0.7053 [3 per cell]
4 In 0.0000 0.0000 0.2106 [3 per cell]
5 I 0.0168 0.4130 0.4483 [9 per cell]
6 I 0.0813 0.7163 0.2882 [9 per cell]

Summary:
Total energy, eV per cell: -93.87

---

Q: Which mass density values were calculated for the entries above? A: 5.65 6.60 7.34 7.57 6.15 5.62 5.28 7.54 9.17 3.05 7.66 14.28 3.88, in g cm⁻³.
Q: Which total magnetic moment values were calculated for the entries above? A: 0.0000 0.0000 0.0000 0.0000 0.3608 0.1988 0.0000 0.0000 0.0000 0.5000 0.0001 0.0000 0.0000, in μB per atom.